Computed, not measured: crystalline HfGe2Pd7 at its relaxed geometry at the GGA-PBE level of DFT.

Lattice parameters (Å, degrees): 10.5297 10.5297 10.5297 157.88 157.88 31.49
Atoms (fractional coordinates):
Hf  0.0000  0.0000  0.0000
Ge  0.3260  0.3260  0.0000
Ge  0.6740  0.6740  0.0000
Pd  0.0988  0.5988  0.5000
Pd  0.2500  0.7500  0.5000
Pd  0.4012  0.9012  0.5000
Pd  0.5000  0.5000  0.0000
Pd  0.5988  0.0988  0.5000
Pd  0.7500  0.2500  0.5000
Pd  0.9012  0.4012  0.5000

Values from the calculation:
Its energy is -61.96 eV/cell. The calculation puts the formation energy from the elements at -0.643 eV per atom.